Record 1
! Th2AlZn2Ir5 (GGA-PBE, optimized geometry); values from VASP
! E_form in eV/f.u.: -5.9
&SYSTEM
  ibrav = 0, nat = 20, ntyp = 4
/
ATOMIC_SPECIES
Th 232.04 Th.upf
Ir 192.22 Ir.upf
Al 26.98 Al.upf
Zn 65.41 Zn.upf
CELL_PARAMETERS angstrom
-3.021 -1.968 -0.908
-2.010 -1.267 9.433
-5.302 8.155 -0.034
ATOMIC_POSITIONS angstrom
Th -5.241 4.470 7.749
Ir -4.460 -0.514 8.338
Ir -6.376 4.027 4.872
Ir -4.162 3.094 -0.471
Ir -5.874 5.434 0.153
Al -3.656 3.444 4.700
Ir -2.274 -0.693 1.455
Zn -3.546 4.921 1.133
Th -5.019 6.309 3.027
Al 0.000 0.000 0.000
Ir -2.516 -1.618 4.262
Ir -5.116 3.265 2.332
Zn -1.408 0.519 3.558
Ir -3.957 0.893 3.619
Ir -8.059 5.613 7.036
Th -2.071 2.418 1.650
Zn -5.904 6.369 5.841
Th -2.293 0.579 6.372
Ir -5.218 1.655 6.159
Zn -3.766 1.967 8.266

=====

Record 2
! Ba2LiCd4Ag3 (GGA-PBE, optimized geometry); values from VASP
! E_form in eV/f.u.: -2.3
&SYSTEM
  ibrav = 0, nat = 10, ntyp = 4
/
ATOMIC_SPECIES
Ba 137.33 Ba.upf
Cd 112.41 Cd.upf
Ag 107.87 Ag.upf
Li 6.94 Li.upf
CELL_PARAMETERS angstrom
4.818 0.000 0.000
0.000 4.818 0.000
0.000 0.000 11.865
ATOMIC_POSITIONS angstrom
Ba 0.000 2.409 8.907
Cd 2.409 0.000 7.416
Cd 2.409 2.409 0.000
Cd 0.000 0.000 0.000
Cd 0.000 2.409 4.449
Ag 0.000 0.000 5.932
Ba 2.409 0.000 2.958
Li 2.409 2.409 5.932
Ag 0.000 2.409 1.614
Ag 2.409 0.000 10.251

=====

Record 3
! LiNb2Rh (GGA-PBE, optimized geometry); values from VASP
! E_form in eV/f.u.: 0.6
&SYSTEM
  ibrav = 0, nat = 4, ntyp = 3
/
ATOMIC_SPECIES
Nb 92.91 Nb.upf
Rh 102.91 Rh.upf
Li 6.94 Li.upf
CELL_PARAMETERS angstrom
2.817 0.000 0.000
1.408 2.439 0.000
1.408 0.813 10.228
ATOMIC_POSITIONS angstrom
Nb 1.408 0.813 7.413
Nb 4.225 2.439 2.815
Rh 2.817 1.626 5.114
Li 0.000 0.000 0.000

=====

Record 4
! SnGeF3 (GGA-PBE, optimized geometry); values from VASP
! DFT total energy in eV per cell: -21.506
&SYSTEM
  ibrav = 0, nat = 5, ntyp = 3
/
ATOMIC_SPECIES
F 19.00 F.upf
Sn 118.71 Sn.upf
Ge 72.64 Ge.upf
CELL_PARAMETERS angstrom
4.470 0.000 0.000
0.000 4.470 0.000
0.000 0.000 4.470
ATOMIC_POSITIONS angstrom
F 0.000 0.000 2.235
Sn 2.235 2.235 2.235
Ge 0.000 0.000 0.000
F 2.235 0.000 0.000
F 0.000 2.235 0.000

=====

Record 5
! Pr6Bi3SbTe2 (GGA-PBE, optimized geometry); values from VASP
! DFT total energy in eV per cell: -64.922
&SYSTEM
  ibrav = 0, nat = 12, ntyp = 4
/
ATOMIC_SPECIES
Bi 208.98 Bi.upf
Te 127.60 Te.upf
Pr 140.91 Pr.upf
Sb 121.76 Sb.upf
CELL_PARAMETERS angstrom
-0.670 -2.176 -3.997
-5.784 -5.807 4.131
-5.659 8.513 -1.040
ATOMIC_POSITIONS angstrom
Bi -5.280 2.874 -3.327
Bi -3.227 -3.992 0.067
Te -3.936 0.541 0.365
Pr -4.377 -4.378 3.117
Bi -6.833 -2.345 2.421
Pr -9.348 -0.353 1.758
Sb -0.335 -1.088 -1.998
Pr -6.417 2.560 -0.319
Pr -7.736 4.908 -4.023
Te -8.177 -0.011 -1.271
Pr -2.765 0.883 -2.664
Pr -5.696 -2.030 -0.587

=====

Record 6
! YSiAs2 (GGA-PBE, optimized geometry); values from VASP
! DFT total energy in eV per cell: -21.741
&SYSTEM
  ibrav = 0, nat = 4, ntyp = 3
/
ATOMIC_SPECIES
As 74.92 As.upf
Y 88.91 Y.upf
Si 28.09 Si.upf
CELL_PARAMETERS angstrom
-2.923 1.151 -1.333
-0.230 -3.401 -0.172
-3.150 -0.130 6.795
ATOMIC_POSITIONS angstrom
As -0.042 -0.002 0.090
As -1.533 -0.063 3.307
Y -3.939 -1.222 4.344
Si -2.364 -1.157 0.946

=====

Record 7
! CaPm3B4O12 (GGA-PBE, optimized geometry); values from VASP
! DFT total energy in eV per cell: -159.528
&SYSTEM
  ibrav = 0, nat = 20, ntyp = 4
/
ATOMIC_SPECIES
B 10.81 B.upf
Pm 145.00 Pm.upf
O 16.00 O.upf
Ca 40.08 Ca.upf
CELL_PARAMETERS angstrom
-3.464 -5.679 -0.490
4.480 -0.691 -4.893
3.708 -1.110 5.432
ATOMIC_POSITIONS angstrom
B 2.362 -3.740 0.025
Pm 0.293 -3.320 -2.572
O 4.711 -2.281 3.434
Pm 0.316 -3.271 2.631
O -0.458 -5.456 2.918
O 3.421 -3.076 -0.562
O -0.482 -5.552 -2.324
B 2.725 -3.543 -4.829
B 5.734 -1.593 2.809
O 1.406 -4.349 -0.764
Ca 0.000 0.000 0.000
O -1.284 -6.085 0.715
Pm 4.115 -0.889 -0.009
O 2.259 -3.796 1.401
O 3.723 -2.955 -4.074
O 5.513 -1.762 -1.721
O 5.851 -1.481 1.436
O 1.630 -4.185 -4.280
O 2.056 -3.907 4.119
B -1.372 -6.085 2.095

=====

Record 8
! ScMn2 (GGA-PBE, optimized geometry); values from VASP
! E_form in eV/f.u.: -0.1
&SYSTEM
  ibrav = 0, nat = 12, ntyp = 2
/
ATOMIC_SPECIES
Mn 54.94 Mn.upf
Sc 44.96 Sc.upf
CELL_PARAMETERS angstrom
4.967 0.000 0.000
0.000 3.688 0.000
0.000 0.000 9.723
ATOMIC_POSITIONS angstrom
Mn 2.484 0.922 2.431
Mn 1.243 0.922 6.740
Mn 4.966 2.766 7.292
Mn 2.483 2.766 7.292
Mn 1.240 2.766 1.879
Sc 3.725 0.922 5.194
Sc 3.725 2.766 0.332
Sc 1.242 2.766 4.529
Mn 0.001 0.922 2.431
Mn 3.727 0.922 7.844
Mn 3.724 2.766 2.982
Sc 1.242 0.922 9.390

=====

Record 9
! Pm2Ga6Pt9 (GGA-PBE, optimized geometry); values from VASP
! E_form in eV/f.u.: -13.1
&SYSTEM
  ibrav = 0, nat = 17, ntyp = 3
/
ATOMIC_SPECIES
Ga 69.72 Ga.upf
Pt 195.08 Pt.upf
Pm 145.00 Pm.upf
CELL_PARAMETERS angstrom
-0.220 -2.728 4.886
-1.885 -2.457 -4.666
10.963 -4.538 -2.039
ATOMIC_POSITIONS angstrom
Ga 2.908 -4.162 1.017
Pt 1.742 -2.131 2.099
Ga 6.504 -5.651 0.348
Pt 8.168 -5.000 -4.027
Pt 0.910 -1.995 -2.678
Pm 3.341 -1.383 -0.621
Ga -0.775 -2.637 1.702
Pt 9.000 -5.135 0.749
Pt 4.429 -4.861 -0.909
Ga 5.949 -5.560 -2.836
Pt 0.800 -3.359 -0.234
Pm 7.622 -3.155 -1.417
Pt 8.058 -6.364 -1.584
Pt 4.539 -3.498 -3.352
Pt 5.371 -3.633 1.424
Ga 2.354 -4.072 -2.167
Ga -1.330 -2.547 -1.482

=====

Record 10
! V2Zn2W (GGA-PBE, optimized geometry); values from VASP
! E_form in eV/f.u.: 1.3
&SYSTEM
  ibrav = 0, nat = 10, ntyp = 3
/
ATOMIC_SPECIES
V 50.94 V.upf
Zn 65.41 Zn.upf
W 183.84 W.upf
CELL_PARAMETERS angstrom
-4.575 -4.097 -2.765
-2.045 -1.861 6.142
-2.105 2.344 0.010
ATOMIC_POSITIONS angstrom
V -5.839 -3.138 3.167
Zn -3.104 -2.784 -0.966
W 0.000 0.000 0.000
Zn -3.516 -3.175 4.343
V -5.464 -2.788 -0.295
W -3.310 -2.979 1.688
Zn -1.335 -1.206 1.972
Zn -5.286 -4.752 1.405
V -2.887 -0.476 0.219
V -3.262 -0.826 3.681

=====

Record 11
! BaIn2P (GGA-PBE, optimized geometry); values from VASP
! E_form in eV/f.u.: -0.8
&SYSTEM
  ibrav = 0, nat = 4, ntyp = 3
/
ATOMIC_SPECIES
P 30.97 P.upf
In 114.82 In.upf
Ba 137.33 Ba.upf
CELL_PARAMETERS angstrom
-3.436 5.365 -1.850
-3.952 0.032 -5.328
1.241 -3.644 5.403
ATOMIC_POSITIONS angstrom
P -3.202 -0.457 -1.757
In 0.000 0.000 0.000
In -3.694 2.698 -3.589
Ba -2.945 2.209 -0.018

=====

Record 12
! MoAs2Au (GGA-PBE, optimized geometry); values from VASP
! E_form in eV/f.u.: 0.6
! Offset from the most stable computed form in meV per atom: 124
&SYSTEM
  ibrav = 0, nat = 4, ntyp = 3
/
ATOMIC_SPECIES
Mo 95.94 Mo.upf
As 74.92 As.upf
Au 196.97 Au.upf
CELL_PARAMETERS angstrom
4.608 0.004 -0.007
3.529 2.963 -0.007
0.587 0.214 5.235
ATOMIC_POSITIONS angstrom
Mo 2.181 0.795 1.305
As 4.579 1.670 2.363
As 7.921 2.888 0.233
Au 6.544 2.386 3.916

=====

Question: Number 6 is which compound?
Answer: YSiAs2

=====

Question: Which formula does entry 6 have?
Answer: YSiAs2